A crystal of GaSb2Te2 relaxed with PBEsol. Source: Alexandria via LeMat-Bulk, functional SCAN.

```
GaSb2Te2
1.0
8.041 0.000 0.000
0.000 8.041 0.000
0.000 0.000 4.293
Ga Sb Te
2 4 4
direct
0.000 0.000 0.000
0.500 0.500 0.000
0.162 0.338 0.000
0.338 0.838 0.000
0.662 0.162 0.000
0.838 0.662 0.000
0.161 0.661 0.500
0.339 0.161 0.500
0.661 0.839 0.500
0.839 0.339 0.500
```

Values from the calculation:
Its total moment is 0.00 Bohr magnetons per cell. Its space group is P4/mbm (127). The total energy is -329.38 eV for the cell shown.